1.
First-principles (GGA-PBE) data for a relaxed ZnReAsIr2 crystal, as listed in the Alexandria database.

magnetization = 1.2 μB per formula unit
space group = P4/mmm (123)
energy of formation = 6.2 eV/f.u.
calculated volume = 18.9 Å³ per atom

a b c (Å): 4.5499 4.5499 4.5723
angles (deg): 90.00 90.00 90.00
Sites, in units of the cell vectors:
Zn: 0.0000 0.0000 0.0000
Re: 0.5000 0.5000 0.0000
As: 0.5000 0.5000 0.5000
Ir: 0.0000 0.5000 0.5000
Ir: 0.5000 0.0000 0.5000



2.
First-principles (GGA-PBE) data for a relaxed AsIr3Rh crystal, as listed in the Alexandria database.

magnetization = 1.4 μB per formula unit
space group = Pm-3m (221)
energy of formation = 6.7 eV/f.u.
calculated volume = 18.6 Å³ per atom
polymorph energy (0 for the lowest one) = 0.0 meV per atom

a b c (Å): 4.5276 4.5276 4.5276
angles (deg): 90.00 90.00 90.00
Sites, in units of the cell vectors:
As: 0.0000 0.0000 0.0000
Ir: 0.0000 0.0000 0.5000
Ir: 0.0000 0.5000 0.0000
Ir: 0.5000 0.0000 0.0000
Rh: 0.5000 0.5000 0.5000



3.
First-principles (GGA-PBE) data for a relaxed As2IrRh crystal, as listed in the Alexandria database.

magnetization = 0.0 μB per formula unit
space group = I-4m2 (119)
energy of formation = 0.4 eV/f.u.
calculated volume = 15.5 Å³ per atom
polymorph energy (0 for the lowest one) = 325.2 meV per atom

a b c (Å): 5.1518 5.1518 5.1518
angles (deg): 137.42 137.42 61.80
Sites, in units of the cell vectors:
As: 0.0000 0.0000 0.0000
As: 0.7500 0.2500 0.5000
Ir: 0.2500 0.7500 0.5000
Rh: 0.5000 0.5000 0.0000



4.
First-principles (GGA-PBE) data for a relaxed As2IrRh crystal, as listed in the Alexandria database.

magnetization = 0.0 μB per formula unit
space group = P4mm (99)
energy of formation = -0.9 eV/f.u.
calculated volume = 15.8 Å³ per atom
polymorph energy (0 for the lowest one) = 0.0 meV per atom

a b c (Å): 3.5115 3.5115 5.1331
angles (deg): 90.00 90.00 90.00
Sites, in units of the cell vectors:
As: 0.0000 0.0000 0.0000
As: 0.5000 0.5000 0.3723
Ir: 0.0000 0.0000 0.5144
Rh: 0.5000 0.5000 0.8620



5.
First-principles (GGA-PBE) data for a relaxed As2IrRh crystal, as listed in the Alexandria database.

magnetization = 0.0 μB per formula unit
space group = F-43m (216)
energy of formation = 1.6 eV/f.u.
calculated volume = 16.0 Å³ per atom
polymorph energy (0 for the lowest one) = 620.2 meV per atom

a b c (Å): 4.4865 4.4865 4.4865
angles (deg): 60.00 60.00 60.00
Sites, in units of the cell vectors:
As: 0.0000 0.0000 0.0000
As: 0.2500 0.2500 0.2500
Ir: 0.7500 0.7500 0.7500
Rh: 0.5000 0.5000 0.5000



6.
First-principles (GGA-PBE) data for a relaxed As2IrRh crystal, as listed in the Alexandria database.

magnetization = 0.0 μB per formula unit
space group = Cmm2 (35)
energy of formation = 0.7 eV/f.u.
calculated volume = 17.5 Å³ per atom
polymorph energy (0 for the lowest one) = 384.2 meV per atom

a b c (Å): 2.8430 2.8430 9.9911
angles (deg): 90.00 90.00 119.78
Sites, in units of the cell vectors:
As: 0.0000 0.0000 0.0000
As: 0.5000 0.5000 0.3505
Ir: 0.5000 0.5000 0.7917
Rh: 0.0000 0.0000 0.5554



7.
First-principles (GGA-PBE) data for a relaxed As2IrRh crystal, as listed in the Alexandria database.

magnetization = 0.0 μB per formula unit
space group = Pm (6)
energy of formation = -0.8 eV/f.u.
calculated volume = 18.3 Å³ per atom
polymorph energy (0 for the lowest one) = 8.0 meV per atom

a b c (Å): 3.7437 4.6048 4.6373
angles (deg): 90.00 113.35 90.00
Sites, in units of the cell vectors:
As: 0.0000 0.0000 0.0000
As: 0.2016 0.5000 0.3900
Ir: 0.3232 0.0000 0.6396
Rh: 0.8780 0.5000 0.7500



8.
First-principles (GGA-PBE) data for a relaxed As2IrRh crystal, as listed in the Alexandria database.

magnetization = 0.0 μB per formula unit
space group = Immm (71)
energy of formation = 1.0 eV/f.u.
calculated volume = 15.9 Å³ per atom
polymorph energy (0 for the lowest one) = 459.4 meV per atom

a b c (Å): 5.2394 5.2394 5.2394
angles (deg): 147.98 122.43 67.41
Sites, in units of the cell vectors:
As: 0.2472 0.2472 0.0000
As: 0.7528 0.7528 0.0000
Ir: 0.0000 0.5000 0.5000
Rh: 0.5000 0.0000 0.5000



9.
First-principles (GGA-PBE) data for a relaxed As2IrRh crystal, as listed in the Alexandria database.

magnetization = 0.0 μB per formula unit
space group = Cm (8)
energy of formation = -0.4 eV/f.u.
calculated volume = 16.1 Å³ per atom
polymorph energy (0 for the lowest one) = 107.0 meV per atom

a b c (Å): 4.5794 4.5794 4.6560
angles (deg): 103.67 103.67 42.99
Sites, in units of the cell vectors:
As: 0.0000 0.0000 0.0000
As: 0.2338 0.2338 0.5836
Ir: 0.5054 0.5054 0.4351
Rh: 0.7235 0.7235 0.0649



10.
First-principles (GGA-PBE) data for a relaxed As2IrRh crystal, as listed in the Alexandria database.

magnetization = 0.0 μB per formula unit
space group = I-42d (122)
energy of formation = -0.4 eV/f.u.
calculated volume = 21.0 Å³ per atom
polymorph energy (0 for the lowest one) = 126.2 meV per atom

a b c (Å): 6.7572 6.7572 6.7572
angles (deg): 131.81 131.81 70.53
Sites, in units of the cell vectors:
As: 0.1242 0.6250 0.9992
As: 0.3750 0.3742 0.4992
As: 0.6258 0.1250 0.0008
As: 0.8750 0.8758 0.5008
Ir: 0.0000 0.0000 0.0000
Ir: 0.7500 0.2500 0.5000
Rh: 0.2500 0.7500 0.5000
Rh: 0.5000 0.5000 0.0000



11.
First-principles (GGA-PBE) data for a relaxed As2IrRh crystal, as listed in the Alexandria database.

magnetization = 0.0 μB per formula unit
space group = Cmmm (65)
energy of formation = 0.2 eV/f.u.
calculated volume = 15.5 Å³ per atom
polymorph energy (0 for the lowest one) = 275.3 meV per atom

a b c (Å): 4.4894 4.4894 3.0725
angles (deg): 90.00 90.00 93.61
Sites, in units of the cell vectors:
As: 0.0000 0.5000 0.0000
As: 0.5000 0.0000 0.0000
Ir: 0.0000 0.0000 0.5000
Rh: 0.5000 0.5000 0.5000



12.
First-principles (GGA-PBE) data for a relaxed As2IrRh crystal, as listed in the Alexandria database.

magnetization = 0.0 μB per formula unit
space group = P2/m (10)
energy of formation = 0.8 eV/f.u.
calculated volume = 16.2 Å³ per atom
polymorph energy (0 for the lowest one) = 421.1 meV per atom

a b c (Å): 2.9555 4.1518 5.2913
angles (deg): 90.00 92.27 90.00
Sites, in units of the cell vectors:
As: 0.0667 0.0000 0.2678
As: 0.9333 0.0000 0.7322
Ir: 0.0000 0.5000 0.0000
Rh: 0.5000 0.5000 0.5000



13.
First-principles (GGA-PBE) data for a relaxed As2IrRh crystal, as listed in the Alexandria database.

magnetization = 0.0 μB per formula unit
space group = Cmmm (65)
energy of formation = 1.0 eV/f.u.
calculated volume = 15.9 Å³ per atom
polymorph energy (0 for the lowest one) = 462.4 meV per atom

a b c (Å): 2.9190 2.9190 8.6282
angles (deg): 90.00 90.00 120.20
Sites, in units of the cell vectors:
As: 0.0000 0.0000 0.2489
As: 0.0000 0.0000 0.7511
Ir: 0.5000 0.5000 0.5000
Rh: 0.5000 0.5000 0.0000



14.
First-principles (GGA-PBE) data for a relaxed AsIr4Rh crystal, as listed in the Alexandria database.

magnetization = 2.3 μB per formula unit
space group = F-43m (216)
energy of formation = 4.0 eV/f.u.
calculated volume = 16.5 Å³ per atom

a b c (Å): 5.1914 5.1914 5.1914
angles (deg): 60.00 60.00 60.00
Sites, in units of the cell vectors:
As: 0.0000 0.0000 0.0000
Ir: 0.1260 0.6247 0.6247
Ir: 0.6247 0.1260 0.6247
Ir: 0.6247 0.6247 0.1260
Ir: 0.6247 0.6247 0.6247
Rh: 0.2500 0.2500 0.2500



15.
First-principles (GGA-PBE) data for a relaxed As2IrRh crystal, as listed in the Alexandria database.

magnetization = 0.0 μB per formula unit
space group = P1 (1)
energy of formation = -0.8 eV/f.u.
calculated volume = 18.2 Å³ per atom
polymorph energy (0 for the lowest one) = 26.0 meV per atom

a b c (Å): 4.0111 4.2113 4.8075
angles (deg): 89.51 77.27 67.49
Sites, in units of the cell vectors:
As: 0.0000 0.0000 0.0000
As: 0.3892 0.5474 0.4403
Ir: 0.3699 0.3467 0.9424
Rh: 0.0176 0.2003 0.4964



16.
First-principles (GGA-PBE) data for a relaxed As2IrRh crystal, as listed in the Alexandria database.

magnetization = 0.0 μB per formula unit
space group = Fm-3m (225)
energy of formation = 0.2 eV/f.u.
calculated volume = 15.4 Å³ per atom
polymorph energy (0 for the lowest one) = 266.2 meV per atom

a b c (Å): 4.4308 4.4308 4.4308
angles (deg): 60.00 60.00 60.00
Sites, in units of the cell vectors:
As: 0.2500 0.2500 0.2500
As: 0.7500 0.7500 0.7500
Ir: 0.0000 0.0000 0.0000
Rh: 0.5000 0.5000 0.5000



17.
First-principles (GGA-PBE) data for a relaxed As2IrRh crystal, as listed in the Alexandria database.

magnetization = 0.0 μB per formula unit
space group = P4mm (99)
energy of formation = -0.5 eV/f.u.
calculated volume = 17.7 Å³ per atom
polymorph energy (0 for the lowest one) = 93.7 meV per atom

a b c (Å): 2.9898 2.9898 7.9228
angles (deg): 90.00 90.00 90.00
Sites, in units of the cell vectors:
As: 0.0000 0.0000 0.0000
As: 0.5000 0.5000 0.3905
Ir: 0.0000 0.0000 0.5686
Rh: 0.5000 0.5000 0.8264



18.
First-principles (GGA-PBE) data for a relaxed AsIrRh crystal, as listed in the Alexandria database.

magnetization = 0.0 μB per formula unit
space group = I4mm (107)
energy of formation = 0.2 eV/f.u.
calculated volume = 14.8 Å³ per atom

a b c (Å): 5.5734 5.5734 5.5734
angles (deg): 149.49 149.49 43.69
Sites, in units of the cell vectors:
As: 0.0000 0.0000 0.0000
Ir: 0.3490 0.3490 0.0000
Rh: 0.6523 0.6523 0.0000



19.
First-principles (GGA-PBE) data for a relaxed AsIrRh crystal, as listed in the Alexandria database.

magnetization = 0.0 μB per formula unit
space group = F-43m (216)
energy of formation = -0.7 eV/f.u.
calculated volume = 15.9 Å³ per atom

a b c (Å): 4.0750 4.0750 4.0750
angles (deg): 60.00 60.00 60.00
Sites, in units of the cell vectors:
As: 0.0000 0.0000 0.0000
Ir: 0.2500 0.2500 0.2500
Rh: 0.7500 0.7500 0.7500



20.
First-principles (GGA-PBE) data for a relaxed As2IrRh crystal, as listed in the Alexandria database.

magnetization = 0.0 μB per formula unit
space group = Pmmm (47)
energy of formation = 1.0 eV/f.u.
calculated volume = 15.9 Å³ per atom
polymorph energy (0 for the lowest one) = 472.8 meV per atom

a b c (Å): 2.8990 4.3495 5.0342
angles (deg): 90.00 90.00 90.00
Sites, in units of the cell vectors:
As: 0.0000 0.0000 0.0000
As: 0.5000 0.0000 0.5000
Ir: 0.0000 0.5000 0.5000
Rh: 0.5000 0.5000 0.0000



21.
First-principles (GGA-PBE) data for a relaxed As2IrRh crystal, as listed in the Alexandria database.

magnetization = 0.0 μB per formula unit
space group = C2/m (12)
energy of formation = -0.2 eV/f.u.
calculated volume = 15.5 Å³ per atom
polymorph energy (0 for the lowest one) = 161.6 meV per atom

a b c (Å): 4.2772 4.2772 5.2321
angles (deg): 101.68 101.68 41.54
Sites, in units of the cell vectors:
As: 0.2490 0.2490 0.2494
As: 0.7510 0.7510 0.7506
Ir: 0.5000 0.5000 0.0000
Rh: 0.0000 0.0000 0.5000



22.
First-principles (GGA-PBE) data for a relaxed AsIrRh crystal, as listed in the Alexandria database.

magnetization = 0.0 μB per formula unit
space group = P3m1 (156)
energy of formation = -0.1 eV/f.u.
calculated volume = 15.3 Å³ per atom

a b c (Å): 4.0876 4.0876 3.1747
angles (deg): 90.00 90.00 120.00
Sites, in units of the cell vectors:
As: 0.0000 0.0000 0.0000
Ir: 0.6667 0.3333 0.2224
Rh: 0.3333 0.6667 0.7007



23.
First-principles (GGA-PBE) data for a relaxed As2IrRh crystal, as listed in the Alexandria database.

magnetization = 0.0 μB per formula unit
space group = R-3m (166)
energy of formation = -0.2 eV/f.u.
calculated volume = 15.4 Å³ per atom
polymorph energy (0 for the lowest one) = 156.6 meV per atom

a b c (Å): 8.0098 8.0098 8.0098
angles (deg): 21.73 21.73 21.73
Sites, in units of the cell vectors:
As: 0.2494 0.2494 0.2494
As: 0.7506 0.7506 0.7506
Ir: 0.0000 0.0000 0.0000
Rh: 0.5000 0.5000 0.5000



24.
First-principles (GGA-PBE) data for a relaxed AsIr3Rh crystal, as listed in the Alexandria database.

magnetization = 0.0 μB per formula unit
space group = Pm-3m (221)
energy of formation = 9.9 eV/f.u.
calculated volume = 20.9 Å³ per atom
polymorph energy (0 for the lowest one) = 639.1 meV per atom

a b c (Å): 4.7093 4.7093 4.7093
angles (deg): 90.00 90.00 90.00
Sites, in units of the cell vectors:
As: 0.0000 0.0000 0.0000
Ir: 0.0000 0.5000 0.5000
Ir: 0.5000 0.0000 0.5000
Ir: 0.5000 0.5000 0.0000
Rh: 0.5000 0.5000 0.5000



25.
First-principles (GGA-PBE) data for a relaxed As2IrRh crystal, as listed in the Alexandria database.

magnetization = 0.0 μB per formula unit
space group = R3m (160)
energy of formation = -0.1 eV/f.u.
calculated volume = 18.4 Å³ per atom
polymorph energy (0 for the lowest one) = 203.2 meV per atom

a b c (Å): 9.9072 9.9072 9.9072
angles (deg): 17.11 17.11 17.11
Sites, in units of the cell vectors:
As: 0.0000 0.0000 0.0000
As: 0.2035 0.2035 0.2035
Ir: 0.7299 0.7299 0.7299
Rh: 0.4752 0.4752 0.4752



26.
First-principles (GGA-PBE) data for a relaxed As2IrRh crystal, as listed in the Alexandria database.

magnetization = 0.0 μB per formula unit
space group = Pmmm (47)
energy of formation = 0.2 eV/f.u.
calculated volume = 15.4 Å³ per atom
polymorph energy (0 for the lowest one) = 270.9 meV per atom

a b c (Å): 3.0457 3.3198 6.1055
angles (deg): 90.00 90.00 90.00
Sites, in units of the cell vectors:
As: 0.0000 0.0000 0.2492
As: 0.0000 0.0000 0.7508
Ir: 0.5000 0.5000 0.5000
Rh: 0.5000 0.5000 0.0000



27.
First-principles (GGA-PBE) data for a relaxed AsIrRh crystal, as listed in the Alexandria database.

magnetization = 0.0 μB per formula unit
space group = Fmm2 (42)
energy of formation = 0.8 eV/f.u.
calculated volume = 15.3 Å³ per atom

a b c (Å): 7.0352 6.7451 2.8324
angles (deg): 83.95 72.45 23.60
Sites, in units of the cell vectors:
As: 0.0000 0.0000 0.0000
Ir: 0.3391 0.3391 0.6609
Rh: 0.6600 0.6600 0.3400



28.
First-principles (GGA-PBE) data for a relaxed AsIrRh2S crystal, as listed in the Alexandria database.

magnetization = 1.5 μB per formula unit
space group = P4/mmm (123)
formation energy without anion corrections = 0.99 eV/atom
calculated volume = 19.2 Å³ per atom

a b c (Å): 4.5696 4.5696 4.5860
angles (deg): 90.00 90.00 90.00
Sites, in units of the cell vectors:
As: 0.0000 0.0000 0.0000
Ir: 0.0000 0.0000 0.5000
Rh: 0.0000 0.5000 0.0000
Rh: 0.5000 0.0000 0.0000
S: 0.5000 0.5000 0.5000



29.
First-principles (GGA-PBE) data for a relaxed As2IrRhSe crystal, as listed in the Alexandria database.

magnetization = 0.0 μB per formula unit
space group = P4/mmm (123)
formation energy without anion corrections = 0.87 eV/atom
calculated volume = 22.2 Å³ per atom
polymorph energy (0 for the lowest one) = 0.0 meV per atom

a b c (Å): 4.6650 4.6650 5.1030
angles (deg): 90.00 90.00 90.00
Sites, in units of the cell vectors:
As: 0.0000 0.5000 0.0000
As: 0.5000 0.0000 0.0000
Ir: 0.0000 0.0000 0.0000
Rh: 0.5000 0.5000 0.5000
Se: 0.0000 0.0000 0.5000



30.
First-principles (GGA-PBE) data for a relaxed AsIrRhSe2 crystal, as listed in the Alexandria database.

magnetization = 0.2 μB per formula unit
space group = P4/mmm (123)
formation energy without anion corrections = 0.92 eV/atom
calculated volume = 22.6 Å³ per atom
polymorph energy (0 for the lowest one) = 0.0 meV per atom

a b c (Å): 4.9699 4.9699 4.5839
angles (deg): 90.00 90.00 90.00
Sites, in units of the cell vectors:
As: 0.0000 0.0000 0.0000
Ir: 0.0000 0.0000 0.5000
Rh: 0.5000 0.5000 0.0000
Se: 0.0000 0.5000 0.5000
Se: 0.5000 0.0000 0.5000